[1]
# CaTm2Pa

An optimized crystal structure of CaTm2Pa (GGA-PBE, the Alexandria database).

```
CaTm2Pa
1.0
3.485 0.000 0.000
0.000 3.485 0.000
0.000 0.000 10.158
Pa Ca Tm
1 1 2
Cartesian
1.742 1.742 0.000
1.742 1.742 5.079
0.000 0.000 2.212
0.000 0.000 7.946
```

Summary:
Total magnetic moment in Bohr magnetons per cell: 0.00
DFT formation energy in meV per atom: 140
E above lowest polymorph in meV per atom: 0
Total energy in eV/atom: -4.97
Symmetry: P4/mmm, No. 123
Crystal system: tetragonal

=====

[2]
# Rb3Sm3ZrSe8

An optimized crystal structure of Rb3Sm3ZrSe8 (GGA-PBE, the Alexandria database).

```
Rb3Sm3ZrSe8
1.0
8.418 0.000 0.000
-4.209 7.292 -0.031
0.000 -4.826 8.205
Se Rb Sm Zr
8 3 3 1
Cartesian
2.229 3.750 5.627
4.209 2.584 2.528
0.000 -0.119 5.645
1.980 -1.285 2.547
-2.229 3.750 5.627
4.209 0.026 5.723
6.438 -1.285 2.547
0.000 2.440 2.450
2.105 3.646 -0.016
-2.105 3.646 -0.016
0.000 0.000 0.000
2.105 1.233 4.087
-2.105 1.233 4.087
4.209 -2.413 4.102
0.000 -2.413 4.102
```

Summary:
E_form (uncorrected) in eV per atom: -1.66
Total magnetic moment in Bohr magnetons per cell: 0.00
Total energy in eV/atom: -5.23
Symmetry: C2/m, No. 12
Crystal system: monoclinic

=====

[3]
# CsLaAgBr6

An optimized crystal structure of CsLaAgBr6 (GGA-PBE, the Alexandria database).

```
CsLaAgBr6
1.0
7.266 0.380 -0.184
3.951 6.845 -0.362
-0.193 -0.364 8.177
Br Ag Cs La
6 1 1 1
Cartesian
5.904 2.504 5.269
1.602 2.446 2.261
2.420 3.885 5.556
5.189 4.305 1.730
6.559 6.701 5.697
4.547 0.137 2.553
3.642 2.215 3.920
7.034 0.519 -0.182
7.202 4.734 3.718
```

Summary:
E_form (uncorrected) in eV per atom: -1.34
Total magnetic moment in Bohr magnetons per cell: 0.97
Total energy in eV/atom: -3.42
Symmetry: P1, No. 1
Crystal system: triclinic

=====

[4]
# KNa2HgAs

An optimized crystal structure of KNa2HgAs (GGA-PBE, the Alexandria database).

```
KNa2HgAs
1.0
-4.996 2.519 0.082
-0.108 -0.396 5.580
2.899 5.735 0.463
As Na Hg K
1 2 1 1
Cartesian
0.000 0.000 0.000
-2.498 1.259 0.041
-0.054 -0.198 2.790
-1.102 3.929 3.063
1.450 2.867 0.231
```

Summary:
Total magnetic moment in Bohr magnetons per cell: 0.00
DFT formation energy in meV per atom: -256
Total energy in eV/atom: -1.99
Symmetry: P4/mmm, No. 123
Crystal system: tetragonal

=====

[5]
# Dy2TmCd

An optimized crystal structure of Dy2TmCd (GGA-PBE, the Alexandria database).

```
Dy2TmCd
1.0
3.525 0.000 0.000
1.762 3.053 0.000
1.762 1.018 10.855
Dy Cd Tm
2 1 1
Cartesian
1.762 1.018 2.845
1.762 1.018 8.017
3.525 2.035 5.428
5.287 3.053 10.847
```

Summary:
Total magnetic moment in Bohr magnetons per cell: 0.00
DFT formation energy in meV per atom: -34
E above lowest polymorph in meV per atom: 106
Total energy in eV/atom: -3.68
Symmetry: R3m, No. 160
Crystal system: trigonal

=====

[6]
# AlRe2Te

An optimized crystal structure of AlRe2Te (GGA-PBE, the Alexandria database).

```
AlRe2Te
1.0
-3.374 -5.283 -5.992
-5.124 -5.976 -3.637
-5.791 -3.594 -5.362
Re Te Al
2 1 1
Cartesian
-7.128 -7.410 -7.478
-0.017 -0.017 -0.017
-3.572 -3.714 -3.748
-10.717 -11.141 -11.243
```

Summary:
E_form (uncorrected) in eV per atom: 0.59
Total magnetic moment in Bohr magnetons per cell: 0.00
E above lowest polymorph in meV per atom: 347
Total energy in eV/atom: -7.36
Symmetry: R-3m, No. 166
Crystal system: trigonal